Entry 1:
TmPuAgPt (PBE, optimized geometry); volume = 89.3 Å³/cell; calculated total energy = -7.45 eV per atom; energy of formation from the pure elements = -204 kJ/mol of formula units
1.0
-0.6187 -2.4253 4.3483
1.4187 -4.7939 0.4226
3.9912 -1.1980 2.7942
Pu Tm Pt Ag
1 1 1 1
direct
0.5000 0.5000 0.5000
0.0000 0.0000 0.0000
0.7500 0.7500 0.7500
0.2500 0.2500 0.2500



Entry 2:
Rb3AgPt (PBE, optimized geometry); volume = 260.3 Å³/cell; calculated total energy = -2.24 eV per atom; polymorph energy (0 for the lowest one) = 0.00 eV/f.u.; energy of formation from the pure elements = 59 kJ/mol of formula units
1.0
-0.5748 -0.1722 6.3570
-1.9361 -6.0752 -0.3396
6.0574 -1.9581 0.4947
Rb Pt Ag
3 1 1
direct
0.0000 0.0000 0.5000
0.0000 0.5000 0.0000
0.5000 0.0000 0.0000
0.0000 0.0000 0.0000
0.5000 0.5000 0.5000



Entry 3:
RbAgPt (PBE, optimized geometry); volume = 179.2 Å³/cell; calculated total energy = -3.29 eV per atom; polymorph energy (0 for the lowest one) = 0.16 eV/f.u.; energy of formation from the pure elements = 0 kJ/mol of formula units
1.0
4.6038 -0.0083 0.0085
2.2936 6.0177 2.3736
0.0103 0.3747 6.6108
Ag Rb Pt
2 2 2
direct
0.8941 0.5058 0.4956
0.7004 0.8873 0.1000
0.4120 0.4674 0.0938
0.1824 0.9257 0.5018
0.5120 0.2683 0.7116
0.0825 0.1249 0.8840



Entry 4:
RbAgPt (PBE, optimized geometry); volume = 160.4 Å³/cell; calculated total energy = -3.33 eV per atom; polymorph energy (0 for the lowest one) = 0.01 eV/f.u.; energy of formation from the pure elements = -14 kJ/mol of formula units
1.0
4.7207 0.0001 0.0004
0.0018 6.5384 -0.3091
-0.0003 2.4257 5.0808
Pt Ag Rb
2 2 2
direct
0.4498 0.5650 0.8129
0.9498 0.6106 0.0117
0.4498 0.6160 0.2781
0.9498 0.5597 0.5465
0.9495 0.0934 0.1614
0.4495 0.0822 0.6632



Entry 5:
Rb2AgPt (PBE, optimized geometry); volume = 134.1 Å³/cell; calculated total energy = -2.34 eV per atom; polymorph energy (0 for the lowest one) = 1.29 eV/f.u.; energy of formation from the pure elements = 141 kJ/mol of formula units
1.0
0.0000 4.0621 4.0621
4.0621 0.0000 4.0621
4.0621 4.0621 0.0000
Rb Ag Pt
2 1 1
direct
0.7500 0.7500 0.7500
0.2500 0.2500 0.2500
0.0000 0.0000 0.0000
0.5000 0.5000 0.5000



Entry 6:
RbAgPt (PBE, optimized geometry); volume = 161.6 Å³/cell; calculated total energy = -3.34 eV per atom; polymorph energy (0 for the lowest one) = 0.00 eV/f.u.; energy of formation from the pure elements = -15 kJ/mol of formula units
1.0
-2.7650 -2.2720 -3.1205
2.4978 -5.1598 1.7957
-4.0123 -0.5632 3.9651
Pt Rb Ag
2 2 2
direct
0.5713 0.1579 0.6719
0.0712 0.1578 0.8803
0.3271 0.6605 0.0125
0.8267 0.6609 0.5378
0.0862 0.1631 0.3935
0.5862 0.1627 0.1587



Entry 7:
RbAg3Pt (PBE, optimized geometry); volume = 146.0 Å³/cell; calculated total energy = -2.83 eV per atom; polymorph energy (0 for the lowest one) = 1.13 eV/f.u.; energy of formation from the pure elements = 137 kJ/mol of formula units
1.0
5.2660 0.0000 0.0000
0.0000 5.2660 0.0000
0.0000 0.0000 5.2660
Pt Ag Rb
1 3 1
direct
0.0000 0.0000 0.0000
0.5000 0.0000 0.0000
0.0000 0.0000 0.5000
0.0000 0.5000 0.0000
0.5000 0.5000 0.5000



Entry 8:
Rb2AgPt (PBE, optimized geometry); volume = 175.5 Å³/cell; calculated total energy = -2.66 eV per atom; polymorph energy (0 for the lowest one) = 0.00 eV/f.u.; energy of formation from the pure elements = 16 kJ/mol of formula units
1.0
4.5898 0.0000 1.0161
2.1830 4.0388 1.0132
0.2904 0.2131 9.5622
Rb Ag Pt
2 1 1
direct
0.7230 0.4836 0.0704
0.8821 0.6475 0.5883
0.4693 0.2321 0.8293
0.1359 0.8988 0.8294



Entry 9:
Rb2AgPt (PBE, optimized geometry); volume = 389.7 Å³/cell; calculated total energy = -2.58 eV per atom; polymorph energy (0 for the lowest one) = 0.36 eV/f.u.; energy of formation from the pure elements = 51 kJ/mol of formula units
1.0
-0.6295 11.1597 -4.6522
-3.1203 -4.6507 -10.7337
-4.4403 3.3952 -7.0082
Rb Pt Ag
4 2 2
direct
0.9419 0.6250 0.2500
0.8750 0.0581 0.7500
0.3750 0.1919 0.7500
0.8081 0.1250 0.2500
0.7500 0.2500 0.5000
0.0000 0.0000 0.0000
0.2500 0.7500 0.5000
0.5000 0.5000 0.0000



Entry 10:
RbAg3Pt (PBE, optimized geometry); volume = 158.9 Å³/cell; calculated total energy = -1.40 eV per atom; polymorph energy (0 for the lowest one) = 8.30 eV/f.u.; energy of formation from the pure elements = 828 kJ/mol of formula units
1.0
5.4166 0.0000 0.0000
0.0000 5.4166 0.0000
0.0000 0.0000 5.4166
Pt Ag Rb
1 3 1
direct
0.5000 0.5000 0.5000
0.0000 0.0000 0.5000
0.0000 0.5000 0.0000
0.5000 0.0000 0.0000
0.0000 0.0000 0.0000



Entry 11:
RbAg3Pt (PBE, optimized geometry); volume = 233.5 Å³/cell; calculated total energy = -3.06 eV per atom; polymorph energy (0 for the lowest one) = 0.00 eV/f.u.; energy of formation from the pure elements = 27 kJ/mol of formula units
1.0
-1.3111 1.4753 4.9651
-5.0444 -4.3794 -0.0308
6.4989 -2.4078 2.4316
Ag Rb Pt
6 2 2
direct
0.2500 0.8116 0.6231
0.2500 0.3695 0.3234
0.7500 0.0461 0.6766
0.7500 0.1884 0.3769
0.2500 0.9539 0.3234
0.7500 0.6305 0.6766
0.7500 0.5856 0.1712
0.2500 0.4144 0.8288
0.0000 0.0000 0.0000
0.5000 0.0000 0.0000



Entry 12:
Rb2TiAgPt (PBE, optimized geometry); volume = 198.6 Å³/cell; calculated total energy = -2.68 eV per atom; energy of formation from the pure elements = 514 kJ/mol of formula units
1.0
6.1068 0.0000 0.0000
0.0000 5.3243 0.0000
0.0000 0.0000 6.1068
Pt Ti Rb Ag
1 1 2 1
direct
0.5000 0.5000 0.5000
0.0000 0.5000 0.0000
0.5000 0.0000 0.0000
0.0000 0.0000 0.5000
0.0000 0.0000 0.0000



Entry 13:
RbTl2AgPt (PBE, optimized geometry); volume = 156.5 Å³/cell; calculated total energy = -2.97 eV per atom; energy of formation from the pure elements = -27 kJ/mol of formula units
1.0
-0.9009 5.2110 -0.5352
-4.9194 -0.6550 1.9035
1.8755 0.8522 5.1403
Ag Pt Tl Rb
1 1 2 1
direct
0.0000 0.0000 0.5000
0.0000 0.0000 0.0000
0.5000 0.0000 0.0000
0.0000 0.5000 0.0000
0.5000 0.5000 0.5000



Entry 14:
Rb2Tl12AgPt3 (PBE, optimized geometry); volume = 634.9 Å³/cell; calculated total energy = -2.83 eV per atom; energy of formation from the pure elements = 43 kJ/mol of formula units
1.0
-3.1782 4.4592 -7.0595
-8.3046 2.5779 2.0519
0.3779 8.6974 2.0085
Tl Pt Rb Ag
12 3 2 1
direct
0.7295 0.0892 0.7295
0.8574 0.8574 0.3581
0.6419 0.1426 0.1426
0.3581 0.8574 0.8574
0.0892 0.7295 0.7295
0.9108 0.2705 0.2705
0.1426 0.6419 0.1426
0.7295 0.7295 0.0892
0.2705 0.9108 0.2705
0.1426 0.1426 0.6419
0.2705 0.2705 0.9108
0.8574 0.3581 0.8574
0.5000 0.0000 0.0000
0.0000 0.0000 0.5000
0.0000 0.5000 0.0000
0.4007 0.4007 0.4007
0.5993 0.5993 0.5993
0.0000 0.0000 0.0000



Entry 15:
Rb2TlAgPt (PBE, optimized geometry); volume = 218.2 Å³/cell; calculated total energy = -2.57 eV per atom; energy of formation from the pure elements = 33 kJ/mol of formula units
1.0
-0.9674 5.9579 -2.2033
-5.6679 -1.8159 -2.4217
-2.3591 1.2987 4.5476
Pt Tl Ag Rb
1 1 1 2
direct
0.0000 0.0000 0.0000
0.0000 0.0000 0.5000
0.5000 0.5000 0.5000
0.0000 0.5000 0.0000
0.5000 0.0000 0.0000



Entry 16:
Rb2AgPtW (PBE, optimized geometry); volume = 240.1 Å³/cell; calculated total energy = -2.95 eV per atom; energy of formation from the pure elements = 873 kJ/mol of formula units
1.0
-5.9396 -0.5432 -3.1373
2.3105 -2.7120 -3.9047
-1.2084 -5.7590 3.2848
Pt Ag Rb W
1 1 2 1
direct
0.5000 0.5000 0.5000
0.0000 0.5000 0.0000
0.0000 0.0000 0.5000
0.5000 0.0000 0.0000
0.0000 0.0000 0.0000



Entry 17:
RbY2AgPt (PBE, optimized geometry); volume = 147.1 Å³/cell; calculated total energy = -3.16 eV per atom; energy of formation from the pure elements = 672 kJ/mol of formula units
1.0
5.4194 0.0000 0.0000
0.0000 5.0069 0.0000
0.0000 0.0000 5.4194
Y Pt Rb Ag
2 1 1 1
direct
0.0000 0.0000 0.5000
0.5000 0.0000 0.0000
0.0000 0.5000 0.0000
0.0000 0.0000 0.0000
0.5000 0.5000 0.5000



Entry 18:
RbZn2AgPt (PBE, optimized geometry); volume = 131.6 Å³/cell; calculated total energy = -2.60 eV per atom; energy of formation from the pure elements = -58 kJ/mol of formula units
1.0
4.9421 0.0000 0.0000
0.0000 4.9421 0.0000
0.0000 0.0000 5.3893
Ag Zn Pt Rb
1 2 1 1
direct
0.0000 0.0000 0.5000
0.0000 0.5000 0.0000
0.5000 0.0000 0.0000
0.0000 0.0000 0.0000
0.5000 0.5000 0.5000



Entry 19:
ReAgPt2 (PBE, optimized geometry); volume = 64.6 Å³/cell; calculated total energy = -6.39 eV per atom; polymorph energy (0 for the lowest one) = 2.17 eV/f.u.; energy of formation from the pure elements = 174 kJ/mol of formula units
1.0
-2.1480 1.5057 0.7496
1.2318 -0.5853 4.7051
2.7190 3.9862 -0.2160
Pt Ag Re
2 1 1
direct
0.5000 0.5000 0.0000
0.0000 0.0000 0.0000
0.0000 0.5000 0.5000
0.5000 0.0000 0.5000



Entry 20:
ReAgPt2 (PBE, optimized geometry); volume = 62.7 Å³/cell; calculated total energy = -6.54 eV per atom; polymorph energy (0 for the lowest one) = 1.58 eV/f.u.; energy of formation from the pure elements = 117 kJ/mol of formula units
1.0
-3.1654 -2.9811 2.1939
2.3761 -2.9378 3.0730
0.0535 4.8358 -0.5759
Pt Ag Re
2 1 1
direct
0.2500 0.7500 0.5000
0.0000 0.0000 0.0000
0.7500 0.2500 0.5000
0.5000 0.5000 0.0000



Entry 21:
ReAgPt2 (PBE, optimized geometry); volume = 62.7 Å³/cell; calculated total energy = -6.69 eV per atom; polymorph energy (0 for the lowest one) = 0.99 eV/f.u.; energy of formation from the pure elements = 60 kJ/mol of formula units
1.0
4.9303 -0.0194 0.0000
-1.6879 4.6324 0.0000
0.0000 0.0000 2.7482
Pt Ag Re
2 1 1
direct
0.5000 0.5000 0.0000
0.0000 0.0000 0.0000
0.0000 0.5000 0.5000
0.5000 0.0000 0.5000



Entry 22:
Re2AgPt (PBE, optimized geometry); volume = 62.9 Å³/cell; calculated total energy = -7.60 eV per atom; polymorph energy (0 for the lowest one) = 3.01 eV/f.u.; energy of formation from the pure elements = 328 kJ/mol of formula units
1.0
0.6774 -4.3929 -0.4092
-3.0441 -2.5469 -2.0422
0.8859 -1.7579 -4.0061
Pt Ag Re
1 1 2
direct
0.5000 0.5000 0.5000
0.0000 0.0000 0.0000
0.2500 0.2500 0.2500
0.7500 0.7500 0.7500



Entry 23:
Re2AgPt (PBE, optimized geometry); volume = 63.0 Å³/cell; calculated total energy = -8.35 eV per atom; polymorph energy (0 for the lowest one) = 0.00 eV/f.u.; energy of formation from the pure elements = 37 kJ/mol of formula units
1.0
9.5102 0.0053 0.0031
9.1007 2.7607 0.0031
9.1007 1.3526 2.4067
Pt Ag Re
1 1 2
direct
0.7466 0.7466 0.7466
0.5002 0.5002 0.5002
0.9973 0.9973 0.9973
0.2557 0.2557 0.2557



Entry 24:
ReAgPt2 (PBE, optimized geometry); volume = 143.2 Å³/cell; calculated total energy = -6.18 eV per atom; polymorph energy (0 for the lowest one) = 3.05 eV/f.u.; energy of formation from the pure elements = 259 kJ/mol of formula units
1.0
-2.0517 -4.6566 -5.1201
-3.3781 -3.9872 4.9799
-5.0144 -2.8709 -0.4682
Pt Ag Re
4 2 2
direct
0.3750 0.3470 0.7500
0.6530 0.1250 0.2500
0.0970 0.6250 0.2500
0.8750 0.9030 0.7500
0.5000 0.5000 0.0000
0.2500 0.7500 0.5000
0.0000 0.0000 0.0000
0.7500 0.2500 0.5000



Entry 25:
ReAg4Pt (PBE, optimized geometry); volume = 105.3 Å³/cell; calculated total energy = -4.19 eV per atom; energy of formation from the pure elements = 460 kJ/mol of formula units
1.0
2.3046 1.0717 4.6520
2.5604 4.5894 0.6946
-2.0431 3.7207 3.1753
Ag Pt Re
4 1 1
direct
0.6250 0.1249 0.6250
0.6250 0.6250 0.6250
0.1249 0.6250 0.6250
0.6250 0.6250 0.1249
0.2500 0.2500 0.2500
0.0000 0.0000 0.0000



Entry 26:
ReAgPt2 (PBE, optimized geometry); volume = 64.5 Å³/cell; calculated total energy = -6.60 eV per atom; polymorph energy (0 for the lowest one) = 1.34 eV/f.u.; energy of formation from the pure elements = 94 kJ/mol of formula units
1.0
4.8502 0.0000 0.0000
0.0000 4.8502 0.0000
0.0000 0.0000 2.7414
Pt Re Ag
2 1 1
direct
0.0000 0.0000 0.0000
0.5000 0.5000 0.0000
0.5000 0.0000 0.5000
0.0000 0.5000 0.5000



Entry 27:
Re2AgPt (PBE, optimized geometry); volume = 62.3 Å³/cell; calculated total energy = -8.14 eV per atom; polymorph energy (0 for the lowest one) = 0.85 eV/f.u.; energy of formation from the pure elements = 120 kJ/mol of formula units
1.0
4.8661 0.0071 -0.0116
4.1229 2.5847 -0.0116
0.6866 0.1980 4.9650
Pt Re Ag
1 2 1
direct
0.2572 0.2572 0.2552
0.7487 0.7487 0.7705
0.9914 0.9914 0.9845
0.5027 0.5027 0.4898



Entry 28:
ReAgPt2 (PBE, optimized geometry); volume = 63.4 Å³/cell; calculated total energy = -6.94 eV per atom; polymorph energy (0 for the lowest one) = 0.00 eV/f.u.; energy of formation from the pure elements = -35 kJ/mol of formula units
1.0
-0.4244 -2.7192 -0.4986
1.3946 0.2249 -2.4139
6.9150 -1.7814 3.8291
Re Pt Ag
1 2 1
direct
0.5000 0.5000 0.2500
0.0000 0.0000 0.4805
0.0000 0.0000 0.0195
0.5000 0.5000 0.7500